Below is a geometry-optimized AlSb2PbAu structure, with properties calculated at the PBE-GGA level.

a b c (Å): 5.850 5.850 5.256
angles (deg): 90.00 90.00 90.00
Space group P4/mmm (No. 123)
Asymmetric unit:
Al (0.000, 0.000, 0.000) x1
Sb (0.000, 0.500, 0.500) x2
Pb (0.500, 0.500, 0.500) x1
Au (0.500, 0.500, 0.000) x1

Calculated values
DOS at the Fermi energy ... 4.21 states/eV per cell
Formation energy from raw total energies ... 923 meV/atom
Energy ... -2.8719 eV/atom


Below is a geometry-optimized Rb3TlSe4 structure, with properties calculated at the PBE-GGA level.

a b c (Å): 5.194 6.497 18.764
angles (deg): 90.00 90.00 90.00
Space group Immm (No. 71)
Asymmetric unit:
Rb (0.000, 0.000, 0.000) x2
Rb (0.000, 0.500, 0.198) x4
Tl (0.000, 0.000, 0.500) x2
Se (0.000, 0.313, 0.375) x8

Calculated values
Formation energy from raw total energies ... -754 meV/atom
Energy ... -3.1547 eV/atom


Below is a geometry-optimized CaNiPt2 structure, with properties calculated at the PBE-GGA level.

a b c (Å): 2.868 4.387 5.503
angles (deg): 90.00 104.27 90.00
Space group P2/m (No. 10)
Asymmetric unit:
Ca (0.000, 0.000, 0.000) x1
Ni (0.500, 0.000, 0.500) x1
Pt (0.346, 0.500, 0.723) x2

Calculated values
ΔE_f ... -0.277 eV/atom
DOS at the Fermi energy ... 4.05 states/eV per cell
Energy ... -5.2430 eV/atom


Below is a geometry-optimized NaCaCd17 structure, with properties calculated at the PBE-GGA level.

a b c (Å): 10.2193 10.2193 15.0981
angles (deg): 90.00 90.00 120.00
Space group R3m (No. 160, hexagonal axes)
Asymmetric unit:
Na (0.0000, 0.0000, 0.0000) x3
Ca (0.0000, 0.0000, 0.3252) x3
Cd (0.0000, 0.0000, 0.5558) x3
Cd (0.0000, 0.0000, 0.7606) x3
Cd (0.0004, 0.3011, 0.6587) x18
Cd (0.0024, 0.5012, 0.8056) x9
Cd (0.1694, 0.3388, 0.4929) x9
Cd (0.1770, 0.3540, 0.8438) x9

Calculated values
ΔE_f ... -0.079 eV/atom
DOS at the Fermi energy ... 15.35 states/eV per cell
Energy ... -1.0722 eV/atom


Below is a geometry-optimized BaNb structure, with properties calculated at the PBE-GGA level.

a b c (Å): 10.054 10.054 10.054
angles (deg): 90.00 90.00 90.00
Space group I-43m (No. 217)
Asymmetric unit:
Ba (0.215, 0.215, 0.785) x8
Nb (0.090, 0.090, 0.090) x8

Calculated values
ΔE_f ... 1.111 eV/atom
DOS at the Fermi energy ... 20.68 states/eV per cell
Energy ... -4.8857 eV/atom


Below is a geometry-optimized Cd2Hg5 structure, with properties calculated at the PBE-GGA level.

a b c (Å): 30.848 3.726 6.272
angles (deg): 90.00 95.50 90.00
Space group C2/c (No. 15)
Asymmetric unit:
Cd (0.066, 0.007, 0.053) x8
Hg (0.000, 0.491, 0.750) x4
Hg (0.133, 0.479, 0.364) x8
Hg (0.212, 0.035, 0.817) x8

Calculated values
ΔE_f ... 0.022 eV/atom
DOS at the Fermi energy ... 9.44 states/eV per cell
Energy ... -0.4548 eV/atom


Below is a geometry-optimized UCu2AgO8 structure, with properties calculated at the PBE-GGA level.

a b c (Å): 6.654 6.654 6.927
angles (deg): 90.00 90.00 90.00
Space group I-4m2 (No. 119)
Asymmetric unit:
U (0.000, 0.000, 0.000) x2
Cu (0.000, 0.000, 0.500) x2
Cu (0.000, 0.500, 0.250) x2
Ag (0.000, 0.500, 0.750) x2
O (0.000, 0.176, 0.706) x8
O (0.000, 0.298, 0.064) x8

Calculated values
DOS at the Fermi energy ... 27.50 states/eV per cell
Formation energy from raw total energies ... -884 meV/atom
Energy ... -6.0508 eV/atom


Below is a geometry-optimized BiHPt3 structure, with properties calculated at the PBE-GGA level.

a b c (Å): 22.452 3.806 3.960
angles (deg): 90.00 99.71 90.00
Space group C2/m (No. 12)
Asymmetric unit:
Bi (0.082, 0.000, 0.328) x4
H (0.124, 0.500, 0.869) x4
Pt (0.044, 0.500, 0.791) x4
Pt (0.202, 0.500, 0.952) x4
Pt (0.204, 0.000, 0.456) x4

Calculated values
DOS at the Fermi energy ... 16.19 states/eV per cell
Energy ... -5.0985 eV/atom


Below is a geometry-optimized AcAgOsO6 structure, with properties calculated at the PBE-GGA level.

a b c (Å): 4.546 5.535 5.535
angles (deg): 60.00 89.90 89.90
Space group P1 (No. 1)
Asymmetric unit:
Ac (0.000, 0.000, 0.000) x1
Ag (0.362, 0.333, 0.334) x1
Os (0.673, 0.666, 0.667) x1
O (0.445, 0.749, 0.901) x1
O (0.446, 0.901, 0.349) x1
O (0.447, 0.348, 0.750) x1
O (0.911, 0.454, 0.980) x1
O (0.911, 0.980, 0.566) x1
O (0.913, 0.566, 0.454) x1

Calculated values
Formation energy from raw total energies ... -1426 meV/atom
Energy ... -6.7524 eV/atom


Below is a geometry-optimized VIrSeN2 structure, with properties calculated at the PBE-GGA level.

a b c (Å): 3.687 3.687 7.913
angles (deg): 90.00 90.00 90.00
Space group P4/mmm (No. 123)
Asymmetric unit:
V (0.000, 0.000, 0.000) x1
Ir (0.500, 0.500, 0.500) x1
Se (0.500, 0.500, 0.000) x1
N (0.000, 0.500, 0.500) x2

Calculated values
DOS at the Fermi energy ... 5.07 states/eV per cell
Formation energy from raw total energies ... 930 meV/atom
Energy ... -6.6934 eV/atom


Below is a geometry-optimized CuAsP structure, with properties calculated at the PBE-GGA level.

a b c (Å): 4.5773 4.5773 2.6495
angles (deg): 90.00 90.00 120.00
Space group P-6m2 (No. 187)
Asymmetric unit:
Cu (0.0000, 0.0000, 0.0000) x1
As (0.3333, 0.6667, 0.0000) x1
P (0.6667, 0.3333, 0.0000) x1

Calculated values
ΔE_f ... 0.342 eV/atom
DOS at the Fermi energy ... 2.00 states/eV per cell
Energy ... -4.3761 eV/atom


Below is a geometry-optimized La3Sm2Cd2 structure, with properties calculated at the PBE-GGA level.

a b c (Å): 5.138 23.929 3.567
angles (deg): 90.00 90.00 90.00
Space group Cmmm (No. 65)
Asymmetric unit:
La (0.000, 0.000, 0.000) x2
La (0.000, 0.141, 0.000) x4
Sm (0.000, 0.290, 0.500) x4
Cd (0.000, 0.431, 0.500) x4

Calculated values
ΔE_f ... -0.077 eV/atom
DOS at the Fermi energy ... 16.06 states/eV per cell
Energy ... -3.7985 eV/atom


Below is a geometry-optimized Sm2MnGa12 structure, with properties calculated at the PBE-GGA level.

a b c (Å): 6.020 6.020 15.828
angles (deg): 90.00 90.00 90.00
Space group P4/nbm (No. 125, origin choice 2)
Asymmetric unit:
Sm (0.250, 0.750, 0.246) x4
Mn (0.250, 0.750, 0.000) x2
Ga (0.000, 0.000, 0.090) x8
Ga (0.083, 0.583, 0.432) x8
Ga (0.250, 0.250, 0.192) x4
Ga (0.250, 0.250, 0.347) x4

Calculated values
ΔE_f ... -0.316 eV/atom
DOS at the Fermi energy ... 8.59 states/eV per cell
Energy ... -3.9780 eV/atom


Below is a geometry-optimized HfInHg2 structure, with properties calculated at the PBE-GGA level.

a b c (Å): 3.2317 3.2317 33.3007
angles (deg): 90.00 90.00 120.00
Space group R-3m (No. 166, hexagonal axes)
Asymmetric unit:
Hf (0.0000, 0.0000, 0.0000) x3
In (0.0000, 0.0000, 0.5000) x3
Hg (0.0000, 0.0000, 0.0867) x6

Calculated values
ΔE_f ... 0.277 eV/atom
DOS at the Fermi energy ... 8.20 states/eV per cell
Energy ... -3.0468 eV/atom


Below is a geometry-optimized CrCo3Mo structure, with properties calculated at the PBE-GGA level.

a b c (Å): 4.339 4.339 4.339
angles (deg): 90.00 90.00 90.00
Space group Pm-3m (No. 221)
Asymmetric unit:
Cr (0.000, 0.000, 0.000) x1
Co (0.000, 0.500, 0.500) x3
Mo (0.500, 0.500, 0.500) x1

Calculated values
ΔE_f ... 1.796 eV/atom
DOS at the Fermi energy ... 9.65 states/eV per cell
Energy ... -6.5583 eV/atom


Below is a geometry-optimized La3RuAu structure, with properties calculated at the PBE-GGA level.

a b c (Å): 5.472 7.514 8.134
angles (deg): 90.00 90.00 90.00
Space group Amm2 (No. 38)
Asymmetric unit:
La (0.000, 0.000, 0.000) x2
La (0.500, 0.235, 0.254) x4
Ru (0.500, 0.000, 0.966) x2
Au (0.000, 0.000, 0.378) x2

Calculated values
ΔE_f ... -0.312 eV/atom
DOS at the Fermi energy ... 6.21 states/eV per cell
Energy ... -5.7789 eV/atom


Below is a geometry-optimized Ac2Al3Cd4Hg structure, with properties calculated at the PBE-GGA level.

a b c (Å): 4.666 4.666 11.601
angles (deg): 90.00 90.00 90.00
Space group P-4m2 (No. 115)
Asymmetric unit:
Ac (0.000, 0.500, 0.246) x2
Al (0.000, 0.500, 0.868) x2
Al (0.500, 0.500, 0.500) x1
Cd (0.000, 0.000, 0.000) x1
Cd (0.000, 0.500, 0.640) x2
Cd (0.500, 0.500, 0.000) x1
Hg (0.000, 0.000, 0.500) x1

Calculated values
ΔE_f ... -0.283 eV/atom
DOS at the Fermi energy ... 4.70 states/eV per cell
Energy ... -2.6239 eV/atom


Below is a geometry-optimized Tm3AlSi structure, with properties calculated at the PBE-GGA level.

a b c (Å): 4.095 7.411 8.360
angles (deg): 89.01 89.82 74.23
Space group P-1 (No. 2)
Asymmetric unit:
Tm (0.048, 0.401, 0.176) x2
Tm (0.236, 0.028, 0.823) x2
Tm (0.405, 0.684, 0.399) x2
Al (0.203, 0.097, 0.436) x2
Si (0.395, 0.709, 0.058) x2

Calculated values
DOS at the Fermi energy ... 7.65 states/eV per cell
Formation energy from raw total energies ... -365 meV/atom
Energy ... -4.8811 eV/atom


Below is a geometry-optimized Dy2Er7 structure, with properties calculated at the PBE-GGA level.

a b c (Å): 6.0710 6.0710 8.5907
angles (deg): 90.00 90.00 120.00
Space group P-31m (No. 162)
Asymmetric unit:
Dy (0.3333, 0.6667, 0.0000) x2
Er (0.0000, 0.0000, 0.0000) x1
Er (0.0000, 0.3332, 0.6660) x6

Calculated values
ΔE_f ... 0.026 eV/atom
DOS at the Fermi energy ... 13.64 states/eV per cell
Energy ... -4.5455 eV/atom


Below is a geometry-optimized SiC3 structure, with properties calculated at the PBE-GGA level.

a b c (Å): 4.180 20.512 2.482
angles (deg): 90.00 90.00 90.00
Space group Cmcm (No. 63)
Asymmetric unit:
Si (0.000, 0.053, 0.250) x4
C (0.000, 0.482, 0.750) x4
C (0.168, 0.250, 0.250) x8

Calculated values
DOS at the Fermi energy ... 3.44 states/eV per cell
Formation energy from raw total energies ... 499 meV/atom
Energy ... -7.7749 eV/atom


Below is a geometry-optimized MnNbOs2Se structure, with properties calculated at the PBE-GGA level.

a b c (Å): 4.462 4.462 4.413
angles (deg): 90.00 90.00 90.00
Space group P4/mmm (No. 123)
Asymmetric unit:
Mn (0.000, 0.000, 0.000) x1
Nb (0.500, 0.500, 0.500) x1
Os (0.000, 0.500, 0.000) x2
Se (0.000, 0.000, 0.500) x1

Calculated values
DOS at the Fermi energy ... 7.13 states/eV per cell
Formation energy from raw total energies ... 1320 meV/atom
Energy ... -7.7170 eV/atom


Below is a geometry-optimized Rb2SbP2 structure, with properties calculated at the PBE-GGA level.

a b c (Å): 7.291 7.291 5.529
angles (deg): 90.00 90.00 90.00
Space group P4/mbm (No. 127)
Asymmetric unit:
Rb (0.183, 0.317, 0.000) x4
Sb (0.000, 0.000, 0.500) x2
P (0.106, 0.606, 0.500) x4

Calculated values
DOS at the Fermi energy ... 6.52 states/eV per cell
Formation energy from raw total energies ... -196 meV/atom
Energy ... -3.5719 eV/atom


Below is a geometry-optimized Li2CdI4 structure, with properties calculated at the PBE-GGA level.

a b c (Å): 6.528 6.528 12.675
angles (deg): 90.00 90.00 90.00
Space group I-42m (No. 121)
Asymmetric unit:
Li (0.000, 0.500, 0.250) x4
Cd (0.000, 0.000, 0.000) x2
I (0.246, 0.246, 0.626) x8

Calculated values
DOS at the Fermi energy ... 0.00 states/eV per cell
Formation energy from raw total energies ... -947 meV/atom
Energy ... -2.5101 eV/atom